Record 1
ScBiAsSe2: relaxed, PBE.

**D(E_F)**: 0.777 states/eV per atom
**Crystal system**: tetragonal
**E**: -3.987 eV per atom
**Energy relative to the elements, uncorrected**: 0.379 eV/atom
**Total magnetic moment**: 0.00 μB per cell
**Calculated density**: 5.2 Mg/m³

The structure in CIF format:
```
data_ScBiAsSe2
_chemical_formula_sum 'Sc1 Bi1 As1 Se2'
_cell_length_a 5.401
_cell_length_b 5.401
_cell_length_c 5.358
_cell_angle_alpha 90.00
_cell_angle_beta 90.00
_cell_angle_gamma 90.00
_space_group_name_H-M_alt 'P 4/m m m'
_space_group_IT_number 123
_space_group_name_Hall '-P 4 2'
loop_
_atom_site_label
_atom_site_fract_x
_atom_site_fract_y
_atom_site_fract_z
_atom_site_occupancy
Sc1 0.000 0.000 0.000 1
Bi1 0.500 0.500 0.500 1
As1 0.500 0.500 0.000 1
Se1 0.000 0.500 0.500 1
```

---

Record 2
Pm3Er12Mg: relaxed, PBE.

**D(E_F)**: 1.254 states/eV per atom
**Crystal system**: tetragonal
**E**: -4.388 eV per atom
**Energy of formation from the pure elements**: 2.4 kJ/mol of atoms
**Total magnetic moment**: 0.00 μB per cell
**Calculated density**: 8.3 Mg/m³

The structure in CIF format:
```
data_Pm3Er12Mg
_chemical_formula_sum 'Pm3 Er12 Mg1'
_cell_length_a 4.977
_cell_length_b 4.977
_cell_length_c 19.918
_cell_angle_alpha 90.00
_cell_angle_beta 90.00
_cell_angle_gamma 90.00
_space_group_name_H-M_alt 'P 4/m m m'
_space_group_IT_number 123
_space_group_name_Hall '-P 4 2'
loop_
_atom_site_label
_atom_site_fract_x
_atom_site_fract_y
_atom_site_fract_z
_atom_site_occupancy
Pm1 0.000 0.000 0.000 1
Pm2 0.000 0.000 0.252 1
Er1 0.000 0.500 0.127 1
Er2 0.000 0.500 0.378 1
Er3 0.500 0.500 0.000 1
Er4 0.500 0.500 0.255 1
Er5 0.500 0.500 0.500 1
Mg1 0.000 0.000 0.500 1
```

---

Record 3
LiZrAs: relaxed, PBE.

**D(E_F)**: 0.107 states/eV per atom
**Crystal system**: hexagonal
**E**: -5.808 eV per atom
**Energy of formation from the pure elements**: -74.3 kJ/mol of atoms
**Total magnetic moment**: 0.00 μB per cell
**Calculated density**: 5.8 Mg/m³

The structure in CIF format:
```
data_LiZrAs
_chemical_formula_sum 'Li1 Zr1 As1'
_cell_length_a 3.9692
_cell_length_b 3.9692
_cell_length_c 3.6082
_cell_angle_alpha 90.00
_cell_angle_beta 90.00
_cell_angle_gamma 120.00
_space_group_name_H-M_alt 'P -6 m 2'
_space_group_IT_number 187
_space_group_name_Hall 'P -6 2'
loop_
_atom_site_label
_atom_site_fract_x
_atom_site_fract_y
_atom_site_fract_z
_atom_site_occupancy
Li1 0.0000 0.0000 0.0000 1
Zr1 0.6667 0.3333 0.5000 1
As1 0.3333 0.6667 0.0000 1
```

---

Record 4
LiTb4Zn5: relaxed, PBE.

**D(E_F)**: 0.891 states/eV per atom
**Crystal system**: tetragonal
**E**: -2.962 eV per atom
**Energy of formation from the pure elements**: -27.2 kJ/mol of atoms
**Total magnetic moment**: 0.00 μB per cell
**Calculated density**: 7.4 Mg/m³

The structure in CIF format:
```
data_LiTb4Zn5
_chemical_formula_sum 'Li1 Tb4 Zn5'
_cell_length_a 3.530
_cell_length_b 3.530
_cell_length_c 17.436
_cell_angle_alpha 90.00
_cell_angle_beta 90.00
_cell_angle_gamma 90.00
_space_group_name_H-M_alt 'P 4/m m m'
_space_group_IT_number 123
_space_group_name_Hall '-P 4 2'
loop_
_atom_site_label
_atom_site_fract_x
_atom_site_fract_y
_atom_site_fract_z
_atom_site_occupancy
Li1 0.000 0.000 0.000 1
Tb1 0.000 0.000 0.189 1
Tb2 0.000 0.000 0.396 1
Zn1 0.500 0.500 0.082 1
Zn2 0.500 0.500 0.292 1
Zn3 0.500 0.500 0.500 1
```